(1)
Material: ZrHg
Method: DFT, PBEsol
State: relaxed

Geometry as extended XYZ:
```
4
Lattice="4.790 0.000 0.000 -2.395 4.149 0.000 0.000 0.000 5.671" Properties=species:S:1:pos:R:3 pbc="T T T"
Hg 2.395 1.383 1.418
Hg 0.000 2.766 4.253
Zr 2.395 1.383 4.253
Zr 0.000 2.766 1.418
```

ΔE_f: 611.4 meV per atom
VASP energy: -4.217 eV/atom
Theoretical density: 8.6 g cm⁻³

(2)
Material: ZrHg
Method: DFT, PBEsol
State: relaxed

Geometry as extended XYZ:
```
6
Lattice="-0.140 -1.833 2.645 3.904 -2.657 -3.596 3.641 5.089 3.719" Properties=species:S:1:pos:R:3 pbc="T T T"
Hg 3.632 5.069 3.705
Hg 3.956 -1.388 -0.752
Hg 2.474 -0.398 1.817
Zr 2.639 2.664 1.986
Zr 5.067 1.015 0.972
Zr 4.995 2.373 3.870
```

ΔE_f: -141.1 meV per atom
VASP energy: -4.969 eV/atom
Theoretical density: 11.4 g cm⁻³

(3)
Material: Zr5Hg
Method: DFT, PBEsol
State: relaxed

Geometry as extended XYZ:
```
6
Lattice="-0.484 -4.076 -1.390 3.875 0.240 -2.053 5.030 -2.148 4.547" Properties=species:S:1:pos:R:3 pbc="T T T"
Hg 1.938 0.120 -1.026
Zr 2.716 -2.666 0.118
Zr 4.003 -1.394 2.695
Zr -0.242 -2.038 -0.695
Zr 4.903 -0.514 -0.201
Zr 5.705 -3.317 0.986
```

ΔE_f: -111.5 meV per atom
Polymorph energy (0 for the lowest one): 0 meV/atom
VASP energy: -7.781 eV/atom
Theoretical density: 8.5 g cm⁻³

(4)
Material: Zr3Hg
Method: DFT, PBEsol
State: relaxed

Geometry as extended XYZ:
```
4
Lattice="3.027 0.000 -0.007 0.000 5.169 0.000 -0.502 0.000 5.426" Properties=species:S:1:pos:R:3 pbc="T T T"
Hg 0.000 0.000 0.000
Zr 0.335 2.584 4.013
Zr 1.262 0.000 2.709
Zr 2.190 2.584 1.406
```

ΔE_f: -64.7 meV per atom
VASP energy: -7.024 eV/atom
Theoretical density: 9.3 g cm⁻³

(5)
Material: Ho3In
Method: DFT, PBEsol
State: relaxed

Geometry as extended XYZ:
```
8
Lattice="-2.793 -3.257 3.192 5.360 -4.086 0.520 -0.842 5.049 4.415" Properties=species:S:1:pos:R:3 pbc="T T T"
Ho 2.197 -4.957 3.585
Ho 1.790 -2.515 5.720
Ho -0.395 -2.981 3.333
Ho -0.473 2.662 4.543
Ho -0.066 0.220 2.407
Ho 2.119 0.686 4.794
In 2.594 -1.855 2.616
In -0.870 -0.439 5.511
```

ΔE_f: -287.4 meV per atom
Polymorph energy (0 for the lowest one): 15 meV/atom
VASP energy: -4.746 eV/atom
Theoretical density: 9.6 g cm⁻³

(6)
Material: Ho3In5
Method: DFT, PBEsol
State: relaxed

Geometry as extended XYZ:
```
16
Lattice="6.262 0.011 0.000 -1.293 6.127 0.000 0.000 0.000 10.143" Properties=species:S:1:pos:R:3 pbc="T T T"
Ho 3.061 3.781 7.607
Ho 1.907 2.356 2.536
Ho 4.708 1.269 5.071
Ho 4.708 1.269 0.000
Ho 0.261 4.869 5.071
Ho 0.261 4.869 0.000
In 0.012 0.015 7.607
In 4.956 6.122 2.536
In 1.516 1.873 9.697
In 3.452 4.264 0.446
In 1.516 1.873 5.517
In 3.452 4.264 4.625
In -0.223 3.099 7.607
In 1.891 5.710 2.536
In 5.192 3.038 2.536
In 3.078 0.427 7.607
```

ΔE_f: -512.9 meV per atom
VASP energy: -4.233 eV/atom
Theoretical density: 9.1 g cm⁻³

(7)
Material: HoIn3
Method: DFT, PBEsol
State: relaxed

Geometry as extended XYZ:
```
4
Lattice="4.539 0.000 0.000 0.000 4.539 0.000 0.000 0.000 4.539" Properties=species:S:1:pos:R:3 pbc="T T T"
Ho 0.000 0.000 0.000
In 2.269 2.269 0.000
In 2.269 0.000 2.269
In 0.000 2.269 2.269
```

ΔE_f: -460.1 meV per atom
VASP energy: -3.935 eV/atom
Theoretical density: 9.0 g cm⁻³

(8)
Material: Ho3In
Method: DFT, PBEsol
State: relaxed

Geometry as extended XYZ:
```
4
Lattice="4.724 0.000 0.000 0.000 4.724 0.000 0.000 0.000 4.724" Properties=species:S:1:pos:R:3 pbc="T T T"
Ho 0.000 2.362 2.362
Ho 2.362 0.000 2.362
Ho 2.362 2.362 0.000
In 0.000 0.000 0.000
```

ΔE_f: -302.2 meV per atom
Polymorph energy (0 for the lowest one): 0 meV/atom
VASP energy: -4.761 eV/atom
Theoretical density: 9.6 g cm⁻³

(9)
Material: Ho4InIr
Method: DFT, PBEsol
State: relaxed

Geometry as extended XYZ:
```
24
Lattice="-7.071 5.837 2.317 -5.217 -1.714 7.700 0.781 5.597 7.583" Properties=species:S:1:pos:R:3 pbc="T T T"
Ho -8.835 9.792 13.619
Ho -8.278 6.910 7.546
Ho -9.791 4.404 9.552
Ho -11.117 7.009 13.663
Ho -4.939 4.256 12.806
Ho -8.129 6.918 15.667
Ho -6.568 5.464 4.794
Ho -3.553 6.766 10.715
Ho -1.716 5.316 8.048
Ho -5.422 0.798 8.120
Ho -7.162 2.366 10.786
Ho -9.132 7.662 10.733
Ho -8.426 4.788 12.781
Ho -4.022 3.398 6.152
Ho -6.085 8.922 9.480
Ho -6.144 7.571 12.737
In -6.965 3.811 7.745
In -4.364 3.731 9.490
In -6.707 5.665 10.258
In -4.978 6.233 7.707
Ir -3.892 0.632 5.831
Ir -1.290 3.804 5.781
Ir -1.629 1.376 2.492
Ir -4.696 3.908 3.497
```

ΔE_f: -600.2 meV per atom
VASP energy: -6.035 eV/atom
Theoretical density: 10.7 g cm⁻³

(10)
Material: LiHo2In
Method: DFT, PBEsol
State: relaxed

Geometry as extended XYZ:
```
4
Lattice="-3.585 3.211 1.890 -4.646 -1.822 1.355 -1.323 -0.253 4.992" Properties=species:S:1:pos:R:3 pbc="T T T"
In 0.000 0.000 0.000
Ho -7.165 0.852 6.178
Ho -2.388 0.284 2.059
Li -4.777 0.568 4.119
```

ΔE_f: -275.9 meV per atom
VASP energy: -3.988 eV/atom
Theoretical density: 7.7 g cm⁻³

(11)
Material: HoMgIn
Method: DFT, PBEsol
State: relaxed

Geometry as extended XYZ:
```
9
Lattice="-2.062 -3.298 -2.466 4.596 -5.035 2.892 -6.426 1.508 3.357" Properties=species:S:1:pos:R:3 pbc="T T T"
Ho -3.630 0.852 1.896
Ho 2.596 -2.844 1.633
Ho -0.796 -1.535 2.719
Mg 0.081 -2.867 -0.533
Mg -2.418 -4.323 3.504
Mg -2.586 -1.284 -0.420
In -3.783 -2.322 1.969
In 0.000 0.000 0.000
In -0.109 -4.503 1.814
```

ΔE_f: -416.2 meV per atom
VASP energy: -3.633 eV/atom
Theoretical density: 6.9 g cm⁻³

(12)
Material: Ho2MgIn
Method: DFT, PBEsol
State: relaxed

Geometry as extended XYZ:
```
4
Lattice="5.211 0.000 0.000 2.606 4.513 0.000 2.606 1.504 4.255" Properties=species:S:1:pos:R:3 pbc="T T T"
Mg 0.000 0.000 0.000
Ho 2.606 1.504 1.064
Ho 7.817 4.513 3.191
In 5.211 3.009 2.127
```

ΔE_f: -337.2 meV per atom
VASP energy: -3.987 eV/atom
Theoretical density: 7.8 g cm⁻³

(13)
Material: Ho3InN
Method: DFT, PBEsol
State: relaxed

Geometry as extended XYZ:
```
5
Lattice="-0.360 4.076 -2.355 -1.583 -2.329 -3.789 -4.434 0.501 1.544" Properties=species:S:1:pos:R:3 pbc="T T T"
In 0.000 0.000 0.000
Ho -0.971 0.873 -3.072
Ho -3.008 -0.914 -1.123
Ho -2.397 2.289 -0.406
N -3.188 1.124 -2.300
```

Uncorrected formation energy: -1121.6 meV/atom
VASP energy: -6.394 eV/atom
Theoretical density: 9.8 g cm⁻³

(14)
Material: NdHoIn2
Method: DFT, PBEsol
State: relaxed

Geometry as extended XYZ:
```
4
Lattice="5.291 0.000 0.000 2.646 4.582 0.000 2.646 1.527 4.320" Properties=species:S:1:pos:R:3 pbc="T T T"
Nd 0.000 0.000 0.000
Ho 5.291 3.055 2.160
In 2.646 1.527 1.080
In 7.937 4.582 3.240
```

ΔE_f: -518.0 meV per atom
VASP energy: -4.539 eV/atom
Theoretical density: 8.5 g cm⁻³

(15)
Material: Ho2InNi2
Method: DFT, PBEsol
State: relaxed

Geometry as extended XYZ:
```
10
Lattice="3.563 0.000 0.000 0.000 7.252 0.000 0.000 0.000 7.252" Properties=species:S:1:pos:R:3 pbc="T T T"
Ni 0.000 2.759 6.384
Ni 0.000 6.384 4.493
Ni 0.000 4.493 0.867
Ni 0.000 0.867 2.759
Ho 1.781 1.267 4.893
Ho 1.781 2.359 1.267
Ho 1.781 4.893 5.985
Ho 1.781 5.985 2.359
In 0.000 0.000 0.000
In 0.000 3.626 3.626
```

ΔE_f: -543.0 meV per atom
VASP energy: -5.583 eV/atom
Theoretical density: 10.0 g cm⁻³

(16)
Material: Ho2InNi2
Method: DFT, PBEsol
State: relaxed

Geometry as extended XYZ:
```
5
Lattice="3.557 0.000 0.000 0.000 3.871 0.000 0.000 1.936 6.986" Properties=species:S:1:pos:R:3 pbc="T T T"
Ni 0.000 3.871 2.778
Ni 0.000 1.936 4.208
Ho 1.779 1.936 1.939
Ho 1.779 3.871 5.047
In 0.000 0.000 0.000
```

ΔE_f: -561.9 meV per atom
VASP energy: -5.602 eV/atom
Theoretical density: 9.7 g cm⁻³

(17)
Material: HoInNi
Method: DFT, PBEsol
State: relaxed

Geometry as extended XYZ:
```
9
Lattice="3.740 0.000 0.000 0.000 7.283 0.000 0.000 -3.641 6.307" Properties=species:S:1:pos:R:3 pbc="T T T"
Ho 1.870 -2.145 3.715
Ho 1.870 4.290 0.000
Ho 1.870 1.497 2.592
In 0.000 2.715 4.702
In 0.000 1.854 0.000
In 0.000 -0.927 1.606
Ni 0.000 3.641 2.102
Ni 1.870 0.000 0.000
Ni 0.000 0.000 4.205
```

ΔE_f: -545.4 meV per atom
VASP energy: -5.242 eV/atom
Theoretical density: 9.8 g cm⁻³

(18)
Material: HoInO3
Method: DFT, PBEsol
State: relaxed

Geometry as extended XYZ:
```
20
Lattice="5.439 0.000 0.000 0.000 5.777 0.000 0.000 0.000 8.091" Properties=species:S:1:pos:R:3 pbc="T T T"
Ho 0.133 5.392 6.068
Ho 2.587 2.503 6.068
Ho 2.852 3.274 2.023
Ho 5.307 0.385 2.023
In 0.000 2.889 0.000
In 0.000 2.889 4.045
In 2.720 0.000 0.000
In 2.720 0.000 4.045
O 0.808 2.473 2.023
O 1.014 1.100 4.669
O 1.014 1.100 7.467
O 1.706 3.988 4.669
O 1.706 3.988 7.467
O 1.912 5.362 2.023
O 3.527 0.415 6.068
O 3.733 1.789 0.624
O 3.733 1.789 3.421
O 4.426 4.678 0.624
O 4.426 4.678 3.421
O 4.632 3.304 6.068
```

Uncorrected formation energy: -2585.2 meV/atom
VASP energy: -7.321 eV/atom
Theoretical density: 8.6 g cm⁻³

(19)
Material: HoInO3
Method: DFT, PBEsol
State: relaxed

Geometry as extended XYZ:
```
30
Lattice="-1.485 6.057 0.367 -2.251 -3.491 -4.666 -9.728 -2.797 6.786" Properties=species:S:1:pos:R:3 pbc="T T T"
Ho -4.625 -1.064 -1.154
Ho -2.274 -0.654 1.587
Ho -7.138 -2.052 4.980
Ho -9.489 -2.463 2.239
Ho -9.234 0.720 3.917
Ho -4.370 2.118 0.524
In -0.536 2.008 0.151
In -5.895 2.627 3.666
In -2.532 1.699 -2.837
In -6.151 -0.555 1.988
In -6.406 -3.737 0.312
In -0.792 -1.176 -1.527
O -8.542 -0.482 5.755
O -2.240 1.717 1.319
O -7.507 1.964 4.812
O -4.259 3.285 2.506
O -6.587 -1.628 0.214
O -0.380 -0.109 0.265
O -5.244 -1.508 3.658
O -11.451 -3.027 3.607
O -10.689 -0.541 2.653
O -4.075 1.143 -1.548
O -4.792 -3.356 -0.995
O -7.923 -0.953 3.013
O -4.363 -0.146 0.941
O -7.994 -4.107 1.611
O -11.195 0.156 5.285
O -6.331 1.554 1.892
O -2.519 -1.760 -0.514
O -8.775 -3.389 4.223
```

Uncorrected formation energy: -2631.7 meV/atom
VASP energy: -7.368 eV/atom
Theoretical density: 7.9 g cm⁻³

(20)
Material: Ho2InPd2
Method: DFT, PBEsol
State: relaxed

Geometry as extended XYZ:
```
10
Lattice="3.630 0.000 0.000 0.000 7.578 0.000 0.000 0.000 7.578" Properties=species:S:1:pos:R:3 pbc="T T T"
Ho 1.815 2.480 6.269
Ho 1.815 6.269 5.098
Ho 1.815 1.309 2.480
Ho 1.815 5.098 1.309
In 0.000 0.000 0.000
In 0.000 3.789 3.789
Pd 0.000 2.816 0.973
Pd 0.000 6.606 2.816
Pd 0.000 0.973 4.762
Pd 0.000 4.762 6.606
```

ΔE_f: -887.2 meV per atom
VASP energy: -5.847 eV/atom
Theoretical density: 10.5 g cm⁻³

(21)
Material: HoInPd
Method: DFT, PBEsol
State: relaxed

Geometry as extended XYZ:
```
9
Lattice="3.818 0.000 0.000 0.000 7.521 0.000 0.000 -3.760 6.513" Properties=species:S:1:pos:R:3 pbc="T T T"
Ho 0.000 -2.224 3.851
Ho 0.000 4.447 0.000
Ho 0.000 1.537 2.662
In 1.909 1.947 0.000
In 1.909 -0.974 1.686
In 1.909 2.787 4.827
Pd 1.909 3.760 2.171
Pd 0.000 0.000 0.000
Pd 1.909 0.000 4.342
```

ΔE_f: -848.8 meV per atom
VASP energy: -5.479 eV/atom
Theoretical density: 10.3 g cm⁻³

(22)
Material: HoIn2Pd
Method: DFT, PBEsol
State: relaxed

Geometry as extended XYZ:
```
40
Lattice="-0.658 -0.329 -9.003 -3.559 -9.191 -3.935 -9.347 3.095 -3.961" Properties=species:S:1:pos:R:3 pbc="T T T"
Ho -3.685 -1.743 -3.205
Ho -9.735 -4.611 -11.721
Ho -7.984 -0.472 -7.469
Ho -5.436 -5.881 -7.457
Ho -2.173 -5.504 -3.049
Ho -1.881 -3.935 -7.659
Ho -4.219 1.028 -7.670
Ho -5.623 1.819 -3.065
Ho -0.305 -0.153 -4.173
Ho -0.652 -0.326 -8.917
In -9.808 -2.393 -13.941
In -3.923 -4.116 -5.245
In -7.883 -5.870 -9.423
In -8.068 -6.087 -13.933
In -5.848 -0.639 -9.763
In -5.664 -0.422 -5.253
In -9.530 -2.373 -9.430
In -4.201 -4.136 -9.756
In -5.253 -2.490 -7.358
In -8.132 -3.846 -7.098
In -7.702 -1.889 -11.732
In -6.342 -4.777 -11.726
In -0.989 -2.423 -1.879
In -2.866 -6.916 -6.109
In -7.148 2.173 -6.128
In -2.495 0.774 -1.886
In -2.469 -1.176 -6.294
In -11.383 -5.393 -14.550
In -8.877 0.856 -10.431
In -4.975 -7.426 -10.413
Pd -6.528 -3.086 -4.982
Pd -6.857 -3.251 -9.483
Pd -2.870 -6.461 -8.909
Pd -1.390 -3.081 -4.609
Pd -3.253 0.874 -4.617
Pd -6.795 1.871 -8.926
Pd -3.294 -1.571 -9.001
Pd -10.304 -4.872 -8.367
Pd -8.126 0.459 -4.190
Pd -4.813 -6.573 -4.175
```

ΔE_f: -709.3 meV per atom
VASP energy: -4.928 eV/atom
Theoretical density: 10.0 g cm⁻³